[1]
Entry from Alexandria: an optimized crystal structure of TbDy6Pd3 (GGA-PBE).

Geometry as POSCAR:
```
TbDy6Pd3
1.0
5.702 -6.592 0.000
5.702 6.592 0.000
0.000 0.000 7.213
Tb Dy Pd
2 12 6
Cartesian
5.702 4.198 3.607
5.702 -4.198 0.000
3.116 2.544 5.174
1.927 0.520 2.680
1.927 -0.520 6.286
5.702 3.042 0.144
5.702 0.456 2.740
3.116 -2.544 1.568
8.288 2.544 5.174
5.702 -0.456 6.347
5.702 -3.042 3.751
9.478 0.520 2.680
9.478 -0.520 6.286
8.288 -2.544 1.568
5.702 5.595 1.188
3.555 1.336 0.613
3.555 -1.336 4.220
7.849 1.336 0.613
7.849 -1.336 4.220
5.702 -5.595 4.795
```

## Properties
* symmetry: Cmc2_1

=====

[2]
Entry from Alexandria: an optimized crystal structure of Th6Tc2Rh (GGA-PBE).

Geometry as POSCAR:
```
Th6Tc2Rh
1.0
6.306 -1.989 0.000
6.306 1.989 0.000
-0.275 0.000 9.833
Th Tc Rh
6 2 1
Cartesian
1.057 0.000 2.680
4.332 0.000 4.300
4.477 0.000 0.735
7.860 0.000 9.098
8.004 0.000 5.533
11.280 0.000 7.154
2.934 0.000 7.456
9.403 0.000 2.377
0.000 0.000 0.000
```

## Properties
* symmetry: C2/m

=====

Number 1: energy of formation -0.501 eV per atom, total energy -5.28 eV per atom. Number 2: energy of formation -0.261 eV per atom, total energy -8.33 eV per atom.